[1]
CuPtCl2: relaxed, PBE-GGA.

The structure in POSCAR format:
```
CuPtCl2
1.0
14.7014 0.0000 0.0000
0.0000 3.2303 0.0000
-0.8473 0.0000 3.5612
Cu Pt Cl
2 2 4
direct
0.0000 0.0000 0.0000
0.5000 0.5000 0.0000
0.1562 0.5000 0.1419
0.6562 0.0000 0.1419
0.1872 0.0000 0.6709
0.4533 0.0000 0.4538
0.6872 0.5000 0.6709
0.9533 0.5000 0.4538
```

Its energy above the lowest structure with this stoichiometry is 0.740 eV per formula unit.

=====

[2]
CuPtCl2: relaxed, PBE-GGA.

The structure in POSCAR format:
```
CuPtCl2
1.0
13.3057 0.0000 0.0000
0.0000 3.1348 0.0000
-0.3506 0.0000 4.4735
Cu Pt Cl
2 2 4
direct
0.0000 0.0000 0.0000
0.5000 0.5000 0.0000
0.0000 0.5000 0.5000
0.5000 0.0000 0.5000
0.1348 0.5000 0.2131
0.3652 0.0000 0.7869
0.6348 0.0000 0.2131
0.8652 0.5000 0.7869
```

Its energy above the lowest structure with this stoichiometry is 0.000 eV per formula unit.

=====

[3]
CuPtCl: relaxed, PBE-GGA.

The structure in POSCAR format:
```
CuPtCl
1.0
4.3269 0.0000 0.0000
-2.1634 3.7472 0.0000
0.0000 0.0000 2.9346
Cu Pt Cl
1 1 1
direct
0.0000 0.0000 0.0000
0.6667 0.3333 0.5009
0.3333 0.6667 0.5017
```

Its energy above the lowest structure with this stoichiometry is 0.793 eV per formula unit.

=====

[4]
CuPt2Cl: relaxed, PBE-GGA.

The structure in POSCAR format:
```
CuPt2Cl
1.0
3.7987 0.0000 0.0000
0.0000 3.7987 0.0000
0.0000 0.0000 18.5724
Cu Pt Cl
4 8 4
direct
0.0000 0.0000 0.0000
0.0000 0.5000 0.2500
0.5000 0.0000 0.7500
0.5000 0.5000 0.5000
0.2440 0.2500 0.1250
0.2500 0.7440 0.3750
0.2500 0.7560 0.8750
0.2560 0.2500 0.6250
0.7440 0.7500 0.6250
0.7500 0.2440 0.8750
0.7500 0.2560 0.3750
0.7560 0.7500 0.1250
0.0000 0.0000 0.5000
0.0000 0.5000 0.7500
0.5000 0.0000 0.2500
0.5000 0.5000 0.0000
```

Its energy above the lowest structure with this stoichiometry is 1.144 eV per formula unit.

=====

[5]
CuPt2Cl: relaxed, PBE-GGA.

The structure in POSCAR format:
```
CuPt2Cl
1.0
3.8611 0.0000 0.0000
0.0000 3.8611 0.0000
0.0000 0.0000 8.5539
Cu Pt Cl
2 4 2
direct
0.0000 0.0000 0.0000
0.5000 0.5000 0.5000
0.0000 0.5000 0.2500
0.0000 0.5000 0.7500
0.5000 0.0000 0.2500
0.5000 0.0000 0.7500
0.0000 0.0000 0.5000
0.5000 0.5000 0.0000
```

Its energy above the lowest structure with this stoichiometry is 1.677 eV per formula unit.

=====

[6]
CuPt2Cl: relaxed, PBE-GGA.

The structure in POSCAR format:
```
CuPt2Cl
1.0
3.8460 0.0000 0.0000
0.0000 3.8460 0.0000
0.0000 0.0000 4.3151
Cu Pt Cl
1 2 1
direct
0.0000 0.0000 0.0000
0.0000 0.5000 0.5000
0.5000 0.0000 0.5000
0.5000 0.5000 0.0000
```

Its energy above the lowest structure with this stoichiometry is 1.824 eV per formula unit.

=====

[7]
CuPt3Cl: relaxed, PBE-GGA.

The structure in POSCAR format:
```
CuPt3Cl
1.0
4.6508 0.0000 0.0000
0.0000 4.6508 0.0000
0.0000 0.0000 4.6508
Cu Pt Cl
1 3 1
direct
0.0000 0.0000 0.0000
0.0000 0.0000 0.5000
0.0000 0.5000 0.0000
0.5000 0.0000 0.0000
0.5000 0.5000 0.5000
```

Its energy above the lowest structure with this stoichiometry is 0.675 eV per formula unit.

=====

[8]
Cu3PtCl: relaxed, PBE-GGA.

The structure in POSCAR format:
```
Cu3PtCl
1.0
4.7600 0.0000 0.0000
0.0000 4.7600 0.0000
0.0000 0.0000 4.7600
Cu Pt Cl
3 1 1
direct
0.0000 0.0000 0.5000
0.0000 0.5000 0.0000
0.5000 0.0000 0.0000
0.0000 0.0000 0.0000
0.5000 0.5000 0.5000
```

Its energy above the lowest structure with this stoichiometry is 0.000 eV per formula unit.

=====

[9]
CuPt2Cl: relaxed, PBE-GGA.

The structure in POSCAR format:
```
CuPt2Cl
1.0
2.8628 0.0000 0.0000
-1.4314 2.4792 0.0000
0.0000 0.0000 26.2143
Cu Pt Cl
3 6 3
direct
0.0000 0.0000 0.0000
0.3333 0.6667 0.6667
0.6667 0.3333 0.3333
0.0000 0.0000 0.2563
0.0000 0.0000 0.7437
0.3333 0.6667 0.4104
0.3333 0.6667 0.9230
0.6667 0.3333 0.0770
0.6667 0.3333 0.5896
0.0000 0.0000 0.5000
0.3333 0.6667 0.1667
0.6667 0.3333 0.8333
```

Its energy above the lowest structure with this stoichiometry is 0.508 eV per formula unit.

=====

[10]
CuPt2Cl: relaxed, PBE-GGA.

The structure in POSCAR format:
```
CuPt2Cl
1.0
2.8888 0.0000 0.0000
0.0000 2.9000 0.0000
0.0000 0.0000 7.6831
Cu Pt Cl
1 2 1
direct
0.0000 0.0000 0.0000
0.0000 0.0000 0.4721
0.5000 0.5000 0.2214
0.5000 0.0000 0.7523
```

Its energy above the lowest structure with this stoichiometry is 0.000 eV per formula unit.

=====

[11]
CuPt2Cl: relaxed, PBE-GGA.

The structure in POSCAR format:
```
CuPt2Cl
1.0
4.3768 0.0000 0.0000
0.0000 4.3768 0.0000
0.0000 0.0000 6.6524
Cu Pt Cl
2 4 2
direct
0.0000 0.0000 0.0000
0.5000 0.5000 0.5000
0.0000 0.0000 0.5000
0.0000 0.5000 0.7500
0.5000 0.0000 0.2500
0.5000 0.5000 0.0000
0.0000 0.5000 0.2500
0.5000 0.0000 0.7500
```

Its energy above the lowest structure with this stoichiometry is 1.666 eV per formula unit.

=====

[12]
CuPt3Cl: relaxed, PBE-GGA.

The structure in POSCAR format:
```
CuPt3Cl
1.0
4.5169 0.0000 0.0000
0.0000 4.5169 0.0000
0.0000 0.0000 4.5169
Cu Pt Cl
1 3 1
direct
0.0000 0.0000 0.0000
0.0000 0.5000 0.5000
0.5000 0.0000 0.5000
0.5000 0.5000 0.0000
0.5000 0.5000 0.5000
```

Its energy above the lowest structure with this stoichiometry is 0.000 eV per formula unit.

=====

[13]
CuPt2Cl: relaxed, PBE-GGA.

The structure in POSCAR format:
```
CuPt2Cl
1.0
4.6370 0.0000 0.0000
0.0000 4.6370 0.0000
0.0000 0.0000 2.8717
Cu Pt Cl
1 2 1
direct
0.0000 0.0000 0.0000
0.0000 0.5000 0.5000
0.5000 0.0000 0.5000
0.5000 0.5000 0.0000
```

Its energy above the lowest structure with this stoichiometry is 1.628 eV per formula unit.

=====

[14]
CuPtCl2: relaxed, PBE-GGA.

The structure in POSCAR format:
```
CuPtCl2
1.0
3.5610 0.0000 0.0000
0.0000 5.8692 0.0000
0.0000 0.0000 8.0150
Cu Pt Cl
2 2 4
direct
0.0000 0.0000 0.0000
0.5000 0.5000 0.0000
0.0000 0.5000 0.2162
0.5000 0.0000 0.2162
0.0000 0.0000 0.4133
0.0000 0.5000 0.8308
0.5000 0.0000 0.8308
0.5000 0.5000 0.4133
```

Its energy above the lowest structure with this stoichiometry is 0.256 eV per formula unit.

=====

[15]
CuPtCl2: relaxed, PBE-GGA.

The structure in POSCAR format:
```
CuPtCl2
1.0
3.1550 0.0000 0.0000
0.0000 6.5566 0.0000
0.0000 0.0000 7.4373
Cu Pt Cl
2 2 4
direct
0.0000 0.0000 0.0000
0.5000 0.5000 0.0000
0.0000 0.0000 0.5000
0.5000 0.5000 0.5000
0.0000 0.5000 0.2354
0.0000 0.5000 0.7646
0.5000 0.0000 0.2354
0.5000 0.0000 0.7646
```

Its energy above the lowest structure with this stoichiometry is 1.128 eV per formula unit.

=====

[16]
CuPt2Cl: relaxed, PBE-GGA.

The structure in POSCAR format:
```
CuPt2Cl
1.0
2.8943 0.0000 0.0000
0.0000 5.0181 0.0000
0.0000 0.0000 8.6925
Cu Pt Cl
2 4 2
direct
0.0000 0.0000 0.0000
0.5000 0.5000 0.0000
0.0000 0.0000 0.5055
0.0000 0.5000 0.2400
0.5000 0.0000 0.2400
0.5000 0.5000 0.5055
0.0000 0.5000 0.7912
0.5000 0.0000 0.7912
```

Its energy above the lowest structure with this stoichiometry is 0.360 eV per formula unit.

=====

[17]
CuPtCl2: relaxed, PBE-GGA.

The structure in POSCAR format:
```
CuPtCl2
1.0
6.4810 0.0000 0.0000
0.0000 6.4810 0.0000
0.0000 0.0000 6.4810
Cu Pt Cl
4 4 8
direct
0.0000 0.0000 0.0000
0.0000 0.5000 0.5000
0.5000 0.0000 0.5000
0.5000 0.5000 0.0000
0.2500 0.2500 0.7500
0.2500 0.7500 0.2500
0.7500 0.2500 0.2500
0.7500 0.7500 0.7500
0.0000 0.0000 0.5000
0.0000 0.5000 0.0000
0.2500 0.2500 0.2500
0.2500 0.7500 0.7500
0.5000 0.0000 0.0000
0.5000 0.5000 0.5000
0.7500 0.2500 0.7500
0.7500 0.7500 0.2500
```

Its energy above the lowest structure with this stoichiometry is 3.069 eV per formula unit.

=====

[18]
CuPt2Cl: relaxed, PBE-GGA.

The structure in POSCAR format:
```
CuPt2Cl
1.0
5.6831 0.0000 0.0000
0.0000 7.7427 0.0000
0.0000 0.0000 2.8163
Cu Pt Cl
2 4 2
direct
0.0000 0.0000 0.0000
0.5000 0.5000 0.0000
0.2500 0.2500 0.5000
0.2500 0.7500 0.5000
0.7500 0.2500 0.5000
0.7500 0.7500 0.5000
0.0000 0.5000 0.0000
0.5000 0.0000 0.0000
```

Its energy above the lowest structure with this stoichiometry is 1.514 eV per formula unit.

=====

[19]
CuPt2Cl: relaxed, PBE-GGA.

The structure in POSCAR format:
```
CuPt2Cl
1.0
2.9507 0.0000 0.0000
0.0000 2.9507 0.0000
0.0000 0.0000 7.2135
Cu Pt Cl
1 2 1
direct
0.0000 0.0000 0.0000
0.5000 0.5000 0.2163
0.5000 0.5000 0.7837
0.0000 0.0000 0.5000
```

Its energy above the lowest structure with this stoichiometry is 0.813 eV per formula unit.

=====

[20]
Cu2PtCl6: relaxed, PBE-GGA.

The structure in POSCAR format:
```
Cu2PtCl6
1.0
6.7511 0.0000 0.0000
0.0000 6.3367 0.0000
-1.6564 0.0000 11.6645
Cu Pt Cl
4 2 12
direct
0.1393 0.1232 0.1617
0.1393 0.3768 0.6617
0.8607 0.6232 0.3383
0.8607 0.8768 0.8383
0.5000 0.0000 0.0000
0.5000 0.5000 0.5000
0.0569 0.0663 0.7351
0.0569 0.4337 0.2351
0.2235 0.6629 0.5553
0.2235 0.8371 0.0553
0.3801 0.2021 0.5789
0.3801 0.2979 0.0789
0.6199 0.7021 0.9211
0.6199 0.7979 0.4211
0.7765 0.1629 0.9447
0.7765 0.3371 0.4447
0.9431 0.5663 0.7649
0.9431 0.9337 0.2649
```

The calculation puts the total energy at -0.2382 Ry/atom.

=====

no.,magnetic moment (μB per formula unit)
1,0.0
2,0.0
3,0.0
4,0.0
5,0.0
6,0.0
7,0.0
8,0.0
9,0.0
10,0.0
11,0.1
12,0.0
13,0.0
14,0.0
15,0.0
16,0.0
17,0.0
18,0.0
19,0.0
20,0.2